Entry from OQMD via LeMat-Bulk: crystalline TbGdAl4Pd2 at its relaxed geometry (PBE).

Cell: 6.9577 5.5911 5.5911 Å, 45.17 90.00 90.00°
Last column: nearest neighbours and their distance in Å.
Atoms (fractional coordinates):
Al: 0.1966 0.1429 0.1429  3 Pd 2.59-2.64, 1 Al 2.74
Al: 0.8034 0.1429 0.1429  3 Pd 2.59-2.64, 1 Al 2.74
Al: 0.3040 0.8570 0.8570  3 Pd 2.60-2.64, 1 Al 2.73
Al: 0.6960 0.8570 0.8570  3 Pd 2.60-2.64, 1 Al 2.73
Gd: 0.0000 0.4294 0.4294  3 Pd 2.91-3.11, 4 Al 3.11
Pd: 0.5000 0.2890 0.2890  6 Al 2.59-2.64
Pd: 0.0000 0.7113 0.7113  6 Al 2.60-2.64
Tb: 0.5000 0.5707 0.5707  3 Pd 2.91-3.11, 6 Al 3.10-3.26

**Energy**: -5.1127 eV per atom
**Crystal system**: orthorhombic
**Calculated density**: 6.9 Mg/m³



Entry from OQMD via LeMat-Bulk: crystalline GdTmAl4Pd2 at its relaxed geometry (PBE).

Cell: 6.9566 5.5292 5.5292 Å, 45.56 90.00 90.00°
Last column: nearest neighbours and their distance in Å.
Atoms (fractional coordinates):
Al: 0.1980 0.1410 0.1410  3 Pd 2.59-2.65, 1 Al 2.75
Al: 0.8020 0.1410 0.1410  3 Pd 2.59-2.65, 1 Al 2.75
Al: 0.3049 0.8584 0.8584  3 Pd 2.59-2.63, 1 Al 2.71
Al: 0.6951 0.8584 0.8584  3 Pd 2.59-2.63, 1 Al 2.71
Gd: 0.0000 0.4288 0.4288  3 Pd 2.89-3.08, 4 Al 3.10
Pd: 0.5000 0.2889 0.2889  6 Al 2.59-2.63, 1 Tm 2.88
Pd: 0.0000 0.7119 0.7119  6 Al 2.59-2.65, 1 Gd 2.89
Tm: 0.5000 0.5717 0.5717  3 Pd 2.88-3.08, 6 Al 3.08-3.22

**Energy**: -5.0968 eV per atom
**Crystal system**: orthorhombic
**Calculated density**: 7.1 Mg/m³



Entry from OQMD via LeMat-Bulk: crystalline GdYAl2Pd4 at its relaxed geometry (PBE).

Cell: 4.3757 4.3757 9.1583 Å, 90.00 90.00 120.00°
Last column: nearest neighbours and their distance in Å.
Atoms (fractional coordinates):
Al: 0.6667 0.3333 0.2512  6 Pd 2.63
Al: 0.6667 0.3333 0.7488  6 Pd 2.63
Gd: 0.0000 0.0000 0.0000  8 Pd 2.98-3.02
Pd: 0.3333 0.6667 0.1717  3 Al 2.63, 3 Pd 2.91
Pd: 0.0000 0.0000 0.3293  3 Al 2.63, 3 Pd 2.91
Pd: 0.0000 0.0000 0.6707  3 Al 2.63, 3 Pd 2.91
Pd: 0.3333 0.6667 0.8283  3 Al 2.63, 3 Pd 2.91
Y: 0.3333 0.6667 0.5000  8 Pd 2.97-3.01

**Energy**: -5.8515 eV per atom
**Crystal system**: hexagonal
**Calculated density**: 7.9 Mg/m³



Entry from OQMD via LeMat-Bulk: crystalline GdZrAl2Pd4 at its relaxed geometry (PBE).

Cell: 4.3483 4.3483 8.9308 Å, 90.00 90.00 120.00°
Last column: nearest neighbours and their distance in Å.
Atoms (fractional coordinates):
Al: 0.6667 0.3333 0.2644  6 Pd 2.60-2.63
Al: 0.6667 0.3333 0.7356  6 Pd 2.60-2.63
Gd: 0.0000 0.0000 0.0000  8 Pd 2.97-3.05
Pd: 0.3333 0.6667 0.1776  3 Al 2.63, 1 Zr 2.88, 3 Pd 2.91
Pd: 0.0000 0.0000 0.3414  3 Al 2.60, 4 Pd 2.83-2.91, 3 Zr 2.88
Pd: 0.0000 0.0000 0.6586  3 Al 2.60, 4 Pd 2.83-2.91, 3 Zr 2.88
Pd: 0.3333 0.6667 0.8224  3 Al 2.63, 1 Zr 2.88, 3 Pd 2.91
Zr: 0.3333 0.6667 0.5000  8 Pd 2.88

**Energy**: -6.0432 eV per atom
**Crystal system**: hexagonal
**Calculated density**: 8.3 Mg/m³



Entry from OQMD via LeMat-Bulk: crystalline PmGdAl at its relaxed geometry (PBE).

Cell: 5.1168 5.1168 5.1168 Å, 60.00 60.00 60.00°
Last column: nearest neighbours and their distance in Å.
Atoms (fractional coordinates):
Al: 0.5000 0.5000 0.5000  4 Pm 3.13
Gd: 0.0000 0.0000 0.0000  4 Pm 3.13
Pm: 0.2500 0.2500 0.2500  4 Al 3.13, 4 Gd 3.13

**Energy**: -3.8784 eV per atom
**Crystal system**: cubic
**Calculated density**: 5.8 Mg/m³



Entry from OQMD via LeMat-Bulk: crystalline PrGdAl6 at its relaxed geometry (PBE).

Cell: 6.4700 6.4700 4.5874 Å, 90.00 90.00 120.00°
Last column: nearest neighbours and their distance in Å.
Atoms (fractional coordinates):
Al: 0.1890 0.3780 0.0000  6 Al 2.80, 2 Gd 3.12
Al: 0.1890 0.8110 0.0000  6 Al 2.80, 2 Gd 3.12
Al: 0.6220 0.8110 0.0000  6 Al 2.80, 2 Gd 3.12
Al: 0.0504 0.5252 0.5000  6 Al 2.75-2.80
Al: 0.4748 0.5252 0.5000  6 Al 2.75-2.80
Al: 0.4748 0.9496 0.5000  6 Al 2.75-2.80
Gd: 0.0000 0.0000 0.5000  12 Al 3.12-3.25
Pr: 0.6667 0.3333 0.0000  12 Al 3.14-3.24

**Energy**: -4.4275 eV per atom
**Crystal system**: hexagonal
**Calculated density**: 4.6 Mg/m³



Entry from OQMD via LeMat-Bulk: crystalline GdAl2Pt2 at its relaxed geometry (PBE).

Cell: 6.4136 6.4136 6.4136 Å, 143.11 143.11 53.16°
Last column: nearest neighbours and their distance in Å.
Atoms (fractional coordinates):
Al: 0.7500 0.2500 0.5000  4 Pt 2.53
Al: 0.2500 0.7500 0.5000  4 Pt 2.53
Gd: 0.0000 0.0000 0.0000  8 Pt 3.18, 8 Al 3.51
Pt: 0.3813 0.3813 0.0000  4 Al 2.53, 1 Pt 2.72
Pt: 0.6187 0.6187 0.0000  4 Al 2.53, 1 Pt 2.72

**Energy**: -5.9774 eV per atom
**Crystal system**: tetragonal
**Calculated density**: 10.6 Mg/m³



Entry from OQMD via LeMat-Bulk: crystalline GdScAl2Pt4 at its relaxed geometry (PBE).

Cell: 4.3079 4.3079 9.0898 Å, 90.00 90.00 120.00°
Last column: nearest neighbours and their distance in Å.
Atoms (fractional coordinates):
Al: 0.6667 0.3333 0.2591  6 Pt 2.60-2.61
Al: 0.6667 0.3333 0.7409  6 Pt 2.60-2.61
Gd: 0.0000 0.0000 0.0000  8 Pt 2.96-3.14
Pt: 0.3333 0.6667 0.1760  3 Al 2.60
Pt: 0.0000 0.0000 0.3457  3 Al 2.61, 1 Pt 2.80, 3 Sc 2.86
Pt: 0.0000 0.0000 0.6543  3 Al 2.61, 1 Pt 2.80, 3 Sc 2.86
Pt: 0.3333 0.6667 0.8240  3 Al 2.60
Sc: 0.3333 0.6667 0.5000  8 Pt 2.86-2.95

**Energy**: -6.5005 eV per atom
**Crystal system**: hexagonal
**Calculated density**: 11.8 Mg/m³



Entry from OQMD via LeMat-Bulk: crystalline TbGd2Al3Si2Pt at its relaxed geometry (PBE).

Cell: 4.2436 6.9591 6.9591 Å, 120.01 90.00 90.00°
Last column: nearest neighbours and their distance in Å.
Atoms (fractional coordinates):
Al: 0.5000 0.2363 0.2363  2 Pt 2.69, 2 Si 2.72, 2 Al 2.85
Al: 0.5000 0.9997 0.7639  2 Pt 2.68, 2 Si 2.72-2.73, 2 Al 2.84-2.85
Al: 0.5000 0.7639 0.9997  2 Pt 2.68, 2 Si 2.72-2.73, 2 Al 2.84-2.85
Gd: 0.0000 0.4172 0.0001  1 Pt 2.91, 4 Si 2.98, 2 Al 3.21
Gd: 0.0000 0.0001 0.4172  1 Pt 2.91, 4 Si 2.98, 2 Al 3.21
Pt: 0.0000 0.9990 0.9990  6 Al 2.68-2.69, 1 Tb 2.89, 2 Gd 2.91
Si: 0.5000 0.6664 0.3341  3 Al 2.72-2.73, 2 Tb 2.97, 4 Gd 2.98
Si: 0.5000 0.3341 0.6664  3 Al 2.72-2.73, 2 Tb 2.97, 4 Gd 2.98
Tb: 0.0000 0.5833 0.5833  1 Pt 2.89, 4 Si 2.97, 2 Al 3.21

**Energy**: -5.5446 eV per atom
**Crystal system**: orthorhombic
**Calculated density**: 7.5 Mg/m³



Entry from OQMD via LeMat-Bulk: crystalline GdY2Al3Si2Pt at its relaxed geometry (PBE).

Cell: 4.2295 6.9401 6.9401 Å, 120.01 90.00 90.00°
Last column: nearest neighbours and their distance in Å.
Atoms (fractional coordinates):
Al: 0.5000 0.9994 0.2363  2 Pt 2.68, 2 Si 2.70-2.72, 2 Al 2.84-2.85
Al: 0.5000 0.7639 0.7639  2 Pt 2.67, 2 Si 2.72, 2 Al 2.84
Al: 0.5000 0.2363 0.9994  2 Pt 2.68, 2 Si 2.70-2.72, 2 Al 2.84-2.85
Gd: 0.0000 0.4178 0.4178  1 Pt 2.91, 4 Si 2.98, 2 Al 3.20
Pt: 0.0000 0.9985 0.9985  6 Al 2.67-2.68, 2 Y 2.89, 1 Gd 2.91
Si: 0.5000 0.6681 0.3329  3 Al 2.70-2.72, 4 Y 2.96-2.97, 2 Gd 2.98
Si: 0.5000 0.3329 0.6681  3 Al 2.70-2.72, 4 Y 2.96-2.97, 2 Gd 2.98
Y: 0.0000 0.5827 0.0005  1 Pt 2.89, 4 Si 2.96-2.97, 2 Al 3.20
Y: 0.0000 0.0005 0.5827  1 Pt 2.89, 4 Si 2.96-2.97, 2 Al 3.20

**Energy**: -5.9583 eV per atom
**Crystal system**: orthorhombic
**Calculated density**: 6.3 Mg/m³



Entry from OQMD via LeMat-Bulk: crystalline Gd2AlSnPt4 at its relaxed geometry (PBE).

Cell: 4.4768 4.4768 9.2322 Å, 90.00 90.00 120.00°
Last column: nearest neighbours and their distance in Å.
Atoms (fractional coordinates):
Al: 0.0000 0.0000 0.5000  6 Pt 2.69
Gd: 0.3333 0.6667 0.2542  8 Pt 2.98-3.21
Gd: 0.6667 0.3333 0.7458  8 Pt 2.98-3.21
Pt: 0.6667 0.3333 0.0934  3 Sn 2.72, 3 Gd 2.98, 1 Pt 3.02
Pt: 0.6667 0.3333 0.4209  3 Al 2.69, 3 Pt 2.97, 1 Gd 3.00
Pt: 0.3333 0.6667 0.5791  3 Al 2.69, 3 Pt 2.97, 1 Gd 3.00
Pt: 0.3333 0.6667 0.9066  3 Sn 2.72, 3 Gd 2.98, 1 Pt 3.02
Sn: 0.0000 0.0000 0.0000  6 Pt 2.72

**Energy**: -6.2256 eV per atom
**Crystal system**: trigonal
**Calculated density**: 12.9 Mg/m³



Entry from OQMD via LeMat-Bulk: crystalline TbGdAl2Pt4 at its relaxed geometry (PBE).

Cell: 4.3560 4.3560 9.2896 Å, 90.00 90.00 120.00°
Last column: nearest neighbours and their distance in Å.
Atoms (fractional coordinates):
Al: 0.6667 0.3333 0.2500  6 Pt 2.63
Al: 0.6667 0.3333 0.7500  6 Pt 2.63
Gd: 0.0000 0.0000 0.0000  8 Pt 2.96-3.09
Pt: 0.3333 0.6667 0.1681  3 Al 2.63, 3 Pt 2.94
Pt: 0.0000 0.0000 0.3321  3 Al 2.63, 3 Pt 2.94
Pt: 0.0000 0.0000 0.6679  3 Al 2.63, 3 Pt 2.94
Pt: 0.3333 0.6667 0.8319  3 Al 2.63, 3 Pt 2.94
Tb: 0.3333 0.6667 0.5000  8 Pt 2.96-3.08

**Energy**: -6.3001 eV per atom
**Crystal system**: hexagonal
**Calculated density**: 12.5 Mg/m³